First-principles (PBE) data for Pm2B3Ru2 after structural relaxation, as listed in Alexandria.

Results
M_tot (μB/cell): 0.0
VASP energy (eV/atom): -7.08
DOS(E_F) (states/eV per cell): 2.54
Symmetry: C2/m

```
Pm2B3Ru2
1.0
3.722 0.000 0.000
-1.861 5.572 -0.161
0.000 -3.162 5.121
Ru B Pm
2 3 2
direct
0.832 0.663 0.701
0.168 0.337 0.299
0.395 0.790 0.640
0.500 0.000 0.000
0.605 0.210 0.360
0.121 0.242 0.776
0.879 0.758 0.224
```